Compound: Ca2TaTl
Source: Alexandria via LeMat-Bulk
Functional: PBE
Structure: relaxed

The calculation puts the density at 7.36 g/cm³. The calculation puts the volume at 26.27 A^3/atom. Its formation energy is 0.524 eV/atom.

It has space group I-4m2 (No. 119), with a = 4.722 Å, b = 4.722 Å, c = 9.426 Å, α = 90.00°, β = 90.00° and γ = 90.00°. The distinct sites, in fractional coordinates, are Ca at (0.000, 0.000, 0.000), Ca at (0.000, 0.500, 0.250), Ta at (0.000, 0.500, 0.750) and Tl at (0.000, 0.000, 0.500).